[1]
This record from Alexandria via LeMat-Bulk describes a relaxed SrLaY2Os crystal. The functional is PBE.

```
5
Lattice="5.288 0.000 0.000 0.000 5.288 0.000 0.000 0.000 5.400" Properties=species:S:1:pos:R:3 pbc="T T T"
Sr 0.000 0.000 0.000
La 0.000 0.000 2.700
Y 0.000 2.644 0.000
Y 2.644 0.000 0.000
Os 2.644 2.644 2.700
```

theoretical density: 6.5 g/cm³
distance to the lowest polymorph of the same formula: 2.037 eV/atom
total magnetic moment: 0.0 μB/f.u.

[2]
This record from Alexandria via LeMat-Bulk describes a relaxed Pm2GaBPt6 crystal. The functional is PBE.

```
20
Lattice="5.721 0.000 0.000 0.000 8.717 0.000 0.000 0.000 7.385" Properties=species:S:1:pos:R:3 pbc="T T T"
Pm 1.430 0.292 1.583
Pm 1.430 4.067 1.583
Pm 4.291 4.651 5.802
Pm 4.291 8.425 5.802
Ga 1.430 6.538 6.028
Ga 4.291 2.179 1.357
B 1.430 2.179 5.128
B 4.291 6.538 2.257
Pt 0.015 2.179 6.704
Pt 0.063 6.538 3.759
Pt 1.430 0.047 4.747
Pt 1.430 4.312 4.747
Pt 2.797 6.538 3.759
Pt 2.845 2.179 6.704
Pt 2.876 6.538 0.681
Pt 2.924 2.179 3.626
Pt 4.291 4.405 2.638
Pt 4.291 8.671 2.638
Pt 5.658 2.179 3.626
Pt 5.706 6.538 0.681
```

theoretical density: 13.9 g/cm³
total energy: -6.441 eV per atom
total magnetic moment: 0.0 μB/f.u.

[3]
This record from Alexandria via LeMat-Bulk describes a relaxed PrY3Ho2Bi6 crystal. The functional is PBE.

```
12
Lattice="3.901 -6.759 0.000 3.901 6.759 0.000 -2.603 0.000 7.350" Properties=species:S:1:pos:R:3 pbc="T T T"
Pr 0.000 0.000 0.000
Y 2.599 4.548 3.675
Y 2.599 0.000 3.675
Y 2.599 -4.548 3.675
Ho 3.901 2.266 0.000
Ho 3.901 -2.266 0.000
Bi 1.327 2.298 1.861
Bi 0.054 0.000 5.512
Bi 1.327 -2.298 1.861
Bi 3.871 2.298 5.490
Bi 5.144 0.000 1.839
Bi 3.871 -2.298 5.490
```

theoretical density: 8.5 g/cm³
total energy: -5.601 eV per atom
total magnetic moment: 0.0 μB/f.u.

[4]
This record from Alexandria via LeMat-Bulk describes a relaxed Sr2CdHg crystal. The functional is PBE.

```
4
Lattice="4.036 -4.065 0.000 4.036 4.065 0.000 -0.014 0.000 3.997" Properties=species:S:1:pos:R:3 pbc="T T T"
Sr 2.018 2.033 0.000
Sr 2.018 -2.033 0.000
Cd -0.007 0.000 1.999
Hg 4.029 0.000 1.999
```

theoretical density: 6.2 g/cm³
total energy: -1.575 eV per atom
total magnetic moment: 0.0 μB/f.u.